DFT (GGA-PBE) results for a relaxed structure of Mg2InMo.

Cell: 3.5843 3.5843 6.2115 Å, 90.00 90.00 90.00°
Each line ends with the local moment (μB).
Atoms (fractional coordinates):
Mo: 0.5000 0.5000 0.2500  1.68
Mg: 0.0000 0.0000 0.0228  0.01
Mg: 0.0000 0.0000 0.4772  0.01
In: 0.5000 0.5000 0.7500  0.00

The total energy is -3.840 eV per atom. The value obtained for the calculated density is 5.40 g/cm3. As for the volume: 80 Å³ per cell.